The following is a DFT calculation (PBE) of TbLu2In after structural relaxation.

Structure (CIF):
```
data_TbLu2In
_chemical_formula_sum 'Tb4 Lu8 In4'
_space_group_name_H-M_alt 'P 1'
_space_group_IT_number 1
_cell_length_a 7.6079
_cell_length_b 7.6079
_cell_length_c 7.6079
_cell_angle_alpha 90.00
_cell_angle_beta 90.00
_cell_angle_gamma 90.00
loop_
_space_group_symop_operation_xyz
'x,y,z'
loop_
_atom_site_label
_atom_site_fract_x
_atom_site_fract_y
_atom_site_fract_z
_atom_site_occupancy
Tb1 0.0000 0.0000 0.0000 1
Tb2 0.0000 0.5000 0.5000 1
Tb3 0.5000 0.0000 0.5000 1
Tb4 0.5000 0.5000 0.0000 1
Lu1 0.2500 0.2500 0.2500 1
Lu2 0.2500 0.2500 0.7500 1
Lu3 0.2500 0.7500 0.2500 1
Lu4 0.2500 0.7500 0.7500 1
Lu5 0.7500 0.2500 0.2500 1
Lu6 0.7500 0.2500 0.7500 1
Lu7 0.7500 0.7500 0.2500 1
Lu8 0.7500 0.7500 0.7500 1
In1 0.0000 0.0000 0.5000 1
In2 0.0000 0.5000 0.0000 1
In3 0.5000 0.0000 0.0000 1
In4 0.5000 0.5000 0.5000 1
```

Properties
uncorrected energy = -66.87 eV for the cell shown
polymorph energy (0 for the lowest one) = 178.5 meV/atom
symmetry = No. 225
Fermi-level density of states = 25.5 states/eV/cell
spin magnetization = 3.48 μB/cell

The following is a DFT calculation (PBE) of NdY2Er after structural relaxation.

Structure (CIF):
```
data_NdY2Er
_chemical_formula_sum 'Nd2 Y4 Er2'
_space_group_name_H-M_alt 'P 1'
_space_group_IT_number 1
_cell_length_a 3.6652
_cell_length_b 11.4207
_cell_length_c 6.3027
_cell_angle_alpha 90.00
_cell_angle_beta 90.00
_cell_angle_gamma 90.00
loop_
_space_group_symop_operation_xyz
'x,y,z'
loop_
_atom_site_label
_atom_site_fract_x
_atom_site_fract_y
_atom_site_fract_z
_atom_site_occupancy
Nd1 0.0000 0.0000 0.0000 1
Nd2 0.5000 0.5000 0.5000 1
Y1 0.0000 0.2477 0.6620 1
Y2 0.0000 0.7523 0.6620 1
Y3 0.5000 0.2523 0.1620 1
Y4 0.5000 0.7477 0.1620 1
Er1 0.0000 0.5000 0.9956 1
Er2 0.5000 0.0000 0.4956 1
```

Properties
uncorrected energy = -44.43 eV for the cell shown
polymorph energy (0 for the lowest one) = 0.0 meV/atom
symmetry = No. 44
Fermi-level density of states = 14.2 states/eV/cell
spin magnetization = 0.00 μB/cell

The following is a DFT calculation (PBE) of Na2PaBr6 after structural relaxation.

Structure (CIF):
```
data_Na2PaBr6
_chemical_formula_sum 'Na4 Pa2 Br12'
_space_group_name_H-M_alt 'P 1'
_space_group_IT_number 1
_cell_length_a 6.9976
_cell_length_b 6.9976
_cell_length_c 13.1356
_cell_angle_alpha 90.00
_cell_angle_beta 90.00
_cell_angle_gamma 90.00
loop_
_space_group_symop_operation_xyz
'x,y,z'
loop_
_atom_site_label
_atom_site_fract_x
_atom_site_fract_y
_atom_site_fract_z
_atom_site_occupancy
Na1 0.0000 0.0000 0.1661 1
Na2 0.0000 0.0000 0.8339 1
Na3 0.5000 0.5000 0.3339 1
Na4 0.5000 0.5000 0.6661 1
Pa1 0.0000 0.0000 0.5000 1
Pa2 0.5000 0.5000 0.0000 1
Br1 0.1942 0.1942 0.3432 1
Br2 0.1942 0.1942 0.6568 1
Br3 0.2144 0.2144 0.0000 1
Br4 0.2856 0.7144 0.5000 1
Br5 0.3058 0.6942 0.1568 1
Br6 0.3058 0.6942 0.8432 1
Br7 0.6942 0.3058 0.1568 1
Br8 0.6942 0.3058 0.8432 1
Br9 0.7144 0.2856 0.5000 1
Br10 0.7856 0.7856 0.0000 1
Br11 0.8058 0.8058 0.3432 1
Br12 0.8058 0.8058 0.6568 1
```

Properties
uncorrected energy = -71.58 eV for the cell shown
formation energy without anion corrections = -1.51 eV/atom
symmetry = No. 136
Fermi-level density of states = 1.8 states/eV/cell
spin magnetization = 2.01 μB/cell

The following is a DFT calculation (PBE) of Na6SI4 after structural relaxation.

Structure (CIF):
```
data_Na6SI4
_chemical_formula_sum 'Na12 S2 I8'
_space_group_name_H-M_alt 'P 1'
_space_group_IT_number 1
_cell_length_a 9.1116
_cell_length_b 9.1116
_cell_length_c 9.6421
_cell_angle_alpha 90.00
_cell_angle_beta 90.00
_cell_angle_gamma 90.00
loop_
_space_group_symop_operation_xyz
'x,y,z'
loop_
_atom_site_label
_atom_site_fract_x
_atom_site_fract_y
_atom_site_fract_z
_atom_site_occupancy
Na1 0.0000 0.0000 0.2327 1
Na2 0.0000 0.0000 0.7673 1
Na3 0.0866 0.2773 0.5000 1
Na4 0.2227 0.4134 0.0000 1
Na5 0.2773 0.9134 0.5000 1
Na6 0.4134 0.7773 0.0000 1
Na7 0.5000 0.5000 0.2673 1
Na8 0.5000 0.5000 0.7327 1
Na9 0.5866 0.2227 0.0000 1
Na10 0.7227 0.0866 0.5000 1
Na11 0.7773 0.5866 0.0000 1
Na12 0.9134 0.7227 0.5000 1
S1 0.0000 0.0000 0.5000 1
S2 0.5000 0.5000 0.0000 1
I1 0.1739 0.6739 0.2500 1
I2 0.1739 0.6739 0.7500 1
I3 0.3261 0.1739 0.2500 1
I4 0.3261 0.1739 0.7500 1
I5 0.6739 0.8261 0.2500 1
I6 0.6739 0.8261 0.7500 1
I7 0.8261 0.3261 0.2500 1
I8 0.8261 0.3261 0.7500 1
```

Properties
uncorrected energy = -60.37 eV for the cell shown
formation energy without anion corrections = -1.09 eV/atom
symmetry = No. 128
Fermi-level density of states = 0.0 states/eV/cell
spin magnetization = 0.00 μB/cell

The following is a DFT calculation (PBE) of Pr3Zn6Au5 after structural relaxation.

Structure (CIF):
```
data_Pr3Zn6Au5
_chemical_formula_sum 'Pr6 Zn12 Au10'
_space_group_name_H-M_alt 'P 1'
_space_group_IT_number 1
_cell_length_a 4.5372
_cell_length_b 13.1729
_cell_length_c 9.4950
_cell_angle_alpha 90.00
_cell_angle_beta 90.00
_cell_angle_gamma 90.00
loop_
_space_group_symop_operation_xyz
'x,y,z'
loop_
_atom_site_label
_atom_site_fract_x
_atom_site_fract_y
_atom_site_fract_z
_atom_site_occupancy
Pr1 0.2500 0.0528 0.2480 1
Pr2 0.2500 0.4472 0.2480 1
Pr3 0.2500 0.7500 0.2512 1
Pr4 0.7500 0.2500 0.7488 1
Pr5 0.7500 0.5528 0.7520 1
Pr6 0.7500 0.9472 0.7520 1
Zn1 0.2500 0.0790 0.9029 1
Zn2 0.2500 0.2500 0.0558 1
Zn3 0.2500 0.2500 0.4490 1
Zn4 0.2500 0.4210 0.9029 1
Zn5 0.2500 0.6020 0.5244 1
Zn6 0.2500 0.8980 0.5244 1
Zn7 0.7500 0.1020 0.4756 1
Zn8 0.7500 0.3980 0.4756 1
Zn9 0.7500 0.5790 0.0971 1
Zn10 0.7500 0.7500 0.5510 1
Zn11 0.7500 0.7500 0.9442 1
Zn12 0.7500 0.9210 0.0971 1
Au1 0.2500 0.0941 0.6257 1
Au2 0.2500 0.4059 0.6257 1
Au3 0.2500 0.6262 0.9677 1
Au4 0.2500 0.7500 0.7161 1
Au5 0.2500 0.8738 0.9677 1
Au6 0.7500 0.1262 0.0323 1
Au7 0.7500 0.2500 0.2839 1
Au8 0.7500 0.3738 0.0323 1
Au9 0.7500 0.5941 0.3743 1
Au10 0.7500 0.9059 0.3743 1
```

Properties
uncorrected energy = -92.18 eV for the cell shown
symmetry = No. 59
Fermi-level density of states = 9.5 states/eV/cell
spin magnetization = 0.00 μB/cell

The following is a DFT calculation (PBE) of Tl2InBi after structural relaxation.

Structure (CIF):
```
data_Tl2InBi
_chemical_formula_sum 'Tl2 In1 Bi1'
_space_group_name_H-M_alt 'P 1'
_space_group_IT_number 1
_cell_length_a 4.9029
_cell_length_b 4.9029
_cell_length_c 5.1005
_cell_angle_alpha 90.00
_cell_angle_beta 90.00
_cell_angle_gamma 90.00
loop_
_space_group_symop_operation_xyz
'x,y,z'
loop_
_atom_site_label
_atom_site_fract_x
_atom_site_fract_y
_atom_site_fract_z
_atom_site_occupancy
Tl1 0.0000 0.5000 0.0000 1
Tl2 0.5000 0.0000 0.0000 1
In1 0.0000 0.0000 0.5000 1
Bi1 0.5000 0.5000 0.5000 1
```

Properties
uncorrected energy = -11.38 eV for the cell shown
polymorph energy (0 for the lowest one) = 0.0 meV/atom
symmetry = No. 123
Fermi-level density of states = 1.7 states/eV/cell
spin magnetization = 0.00 μB/cell

The following is a DFT calculation (PBE) of IrBr2Cl8 after structural relaxation.

Structure (CIF):
```
data_IrBr2Cl8
_chemical_formula_sum 'Ir1 Br2 Cl8'
_space_group_name_H-M_alt 'P 1'
_space_group_IT_number 1
_cell_length_a 8.7216
_cell_length_b 8.7216
_cell_length_c 7.2600
_cell_angle_alpha 111.76
_cell_angle_beta 111.76
_cell_angle_gamma 48.22
loop_
_space_group_symop_operation_xyz
'x,y,z'
loop_
_atom_site_label
_atom_site_fract_x
_atom_site_fract_y
_atom_site_fract_z
_atom_site_occupancy
Ir1 0.0000 0.0000 0.0000 1
Br1 0.2550 0.2550 0.4555 1
Br2 0.7450 0.7450 0.5445 1
Cl1 0.0788 0.0788 0.3521 1
Cl2 0.1303 0.6755 0.0248 1
Cl3 0.3245 0.8697 0.9752 1
Cl4 0.4067 0.4067 0.5584 1
Cl5 0.5933 0.5933 0.4416 1
Cl6 0.6755 0.1303 0.0248 1
Cl7 0.8697 0.3245 0.9752 1
Cl8 0.9212 0.9212 0.6479 1
```

Properties
uncorrected energy = -28.74 eV for the cell shown
formation energy without anion corrections = -0.16 eV/atom
symmetry = No. 12
Fermi-level density of states = 6.7 states/eV/cell
spin magnetization = 1.99 μB/cell

The following is a DFT calculation (PBE) of CoReNi2 after structural relaxation.

Structure (CIF):
```
data_CoReNi2
_chemical_formula_sum 'Co1 Re1 Ni2'
_space_group_name_H-M_alt 'P 1'
_space_group_IT_number 1
_cell_length_a 2.5940
_cell_length_b 2.5940
_cell_length_c 7.0912
_cell_angle_alpha 90.00
_cell_angle_beta 90.00
_cell_angle_gamma 90.00
loop_
_space_group_symop_operation_xyz
'x,y,z'
loop_
_atom_site_label
_atom_site_fract_x
_atom_site_fract_y
_atom_site_fract_z
_atom_site_occupancy
Co1 0.0000 0.0000 0.0000 1
Re1 0.5000 0.5000 0.7398 1
Ni1 0.0000 0.0000 0.4778 1
Ni2 0.5000 0.5000 0.2347 1
```

Properties
uncorrected energy = -30.92 eV for the cell shown
polymorph energy (0 for the lowest one) = 41.8 meV/atom
symmetry = No. 99
Fermi-level density of states = 5.4 states/eV/cell
spin magnetization = 1.71 μB/cell

The following is a DFT calculation (PBE) of Sm2TlGa2Rh5 after structural relaxation.

Structure (CIF):
```
data_Sm2TlGa2Rh5
_chemical_formula_sum 'Sm4 Tl2 Ga4 Rh10'
_space_group_name_H-M_alt 'P 1'
_space_group_IT_number 1
_cell_length_a 9.9239
_cell_length_b 9.9239
_cell_length_c 3.6624
_cell_angle_alpha 90.00
_cell_angle_beta 90.00
_cell_angle_gamma 90.00
loop_
_space_group_symop_operation_xyz
'x,y,z'
loop_
_atom_site_label
_atom_site_fract_x
_atom_site_fract_y
_atom_site_fract_z
_atom_site_occupancy
Sm1 0.1758 0.3242 0.0000 1
Sm2 0.3242 0.8242 0.0000 1
Sm3 0.6758 0.1758 0.0000 1
Sm4 0.8242 0.6758 0.0000 1
Tl1 0.0000 0.0000 0.0000 1
Tl2 0.5000 0.5000 0.0000 1
Ga1 0.1216 0.6216 0.0000 1
Ga2 0.3784 0.1216 0.0000 1
Ga3 0.6216 0.8784 0.0000 1
Ga4 0.8784 0.3784 0.0000 1
Rh1 0.0000 0.5000 0.5000 1
Rh2 0.0688 0.7881 0.5000 1
Rh3 0.2119 0.0688 0.5000 1
Rh4 0.2881 0.5688 0.5000 1
Rh5 0.4312 0.2881 0.5000 1
Rh6 0.5000 0.0000 0.5000 1
Rh7 0.5688 0.7119 0.5000 1
Rh8 0.7119 0.4312 0.5000 1
Rh9 0.7881 0.9312 0.5000 1
Rh10 0.9312 0.2119 0.5000 1
```

Properties
uncorrected energy = -122.53 eV for the cell shown
symmetry = No. 127
Fermi-level density of states = 12.4 states/eV/cell
spin magnetization = 0.00 μB/cell

The following is a DFT calculation (PBE) of LiFePdPt2 after structural relaxation.

Structure (CIF):
```
data_LiFePdPt2
_chemical_formula_sum 'Li1 Fe1 Pd1 Pt2'
_space_group_name_H-M_alt 'P 1'
_space_group_IT_number 1
_cell_length_a 4.8758
_cell_length_b 4.8758
_cell_length_c 4.0731
_cell_angle_alpha 90.00
_cell_angle_beta 90.00
_cell_angle_gamma 90.00
loop_
_space_group_symop_operation_xyz
'x,y,z'
loop_
_atom_site_label
_atom_site_fract_x
_atom_site_fract_y
_atom_site_fract_z
_atom_site_occupancy
Li1 0.0000 0.0000 0.0000 1
Fe1 0.5000 0.5000 0.0000 1
Pd1 0.0000 0.0000 0.5000 1
Pt1 0.0000 0.5000 0.5000 1
Pt2 0.5000 0.0000 0.5000 1
```

Properties
uncorrected energy = -21.23 eV for the cell shown
symmetry = No. 123
Fermi-level density of states = 8.4 states/eV/cell
spin magnetization = 0.58 μB/cell